Ac2ZnTe5: optimized geometry, PBE-GGA.

## Properties
Total moment, μB per formula unit: 0.000
ρ, g cm⁻³: 4.976
Calculated total energy, eV/atom: -4.01
Uncorrected formation energy, eV/atom: -0.8619
V, Å³ per atom: 48.3

Cell and atoms, written as POSCAR:
```
Ac2ZnTe5
1.0
3.331 -9.403 0.000
3.331 9.403 0.000
0.000 0.000 12.331
Ac Zn Te
4 2 10
Direct
0.155 0.845 0.523 Ac
0.155 0.845 0.977 Ac
0.845 0.155 0.023 Ac
0.845 0.155 0.477 Ac
0.317 0.683 0.250 Zn
0.683 0.317 0.750 Zn
0.007 0.993 0.128 Te
0.007 0.993 0.372 Te
0.236 0.764 0.750 Te
0.331 0.669 0.045 Te
0.331 0.669 0.455 Te
0.669 0.331 0.545 Te
0.669 0.331 0.955 Te
0.764 0.236 0.250 Te
0.993 0.007 0.628 Te
0.993 0.007 0.872 Te
```

Ac2Zn2Te: optimized geometry, PBE-GGA.

## Properties
Total moment, μB per formula unit: 0.000
ρ, g cm⁻³: 7.680
Calculated total energy, eV/atom: -3.57
Uncorrected formation energy, eV/atom: -0.7920
V, Å³ per atom: 30.8

Cell and atoms, written as POSCAR:
```
Ac2Zn2Te
1.0
7.956 0.000 0.000
0.000 4.578 0.000
-2.659 0.000 8.459
Ac Zn Te
4 4 2
Direct
0.082 0.000 0.246 Ac
0.418 0.500 0.754 Ac
0.582 0.500 0.246 Ac
0.918 0.000 0.754 Ac
0.167 0.500 0.001 Zn
0.333 0.000 0.999 Zn
0.667 0.000 0.001 Zn
0.833 0.500 0.999 Zn
0.000 0.500 0.500 Te
0.500 0.000 0.500 Te
```

Ac3Zn5Te12: optimized geometry, PBE-GGA.

## Properties
Total moment, μB per formula unit: 0.000
ρ, g cm⁻³: 6.232
Calculated total energy, eV/atom: -3.44
Uncorrected formation energy, eV/atom: -0.6183
V, Å³ per atom: 33.8

Cell and atoms, written as POSCAR:
```
Ac3Zn5Te12
1.0
-8.779 8.779 8.779
8.779 -8.779 8.779
8.779 8.779 -8.779
Ac Zn Te
12 20 48
Direct
0.125 0.250 0.375 Ac
0.125 0.375 0.750 Ac
0.250 0.375 0.125 Ac
0.250 0.875 0.625 Ac
0.375 0.125 0.250 Ac
0.375 0.750 0.125 Ac
0.625 0.250 0.875 Ac
0.625 0.875 0.750 Ac
0.750 0.125 0.375 Ac
0.750 0.625 0.875 Ac
0.875 0.625 0.250 Ac
0.875 0.750 0.625 Ac
0.000 0.000 0.000 Zn
0.000 0.000 0.500 Zn
0.000 0.500 0.000 Zn
0.000 0.500 0.500 Zn
0.125 0.750 0.875 Zn
0.125 0.875 0.250 Zn
0.250 0.125 0.875 Zn
0.250 0.625 0.375 Zn
0.375 0.250 0.625 Zn
0.375 0.625 0.750 Zn
0.500 0.000 0.000 Zn
0.500 0.000 0.500 Zn
0.500 0.500 0.000 Zn
0.500 0.500 0.500 Zn
0.625 0.375 0.250 Zn
0.625 0.750 0.375 Zn
0.750 0.375 0.625 Zn
0.750 0.875 0.125 Zn
0.875 0.125 0.750 Zn
0.875 0.250 0.125 Zn
0.029 0.207 0.118 Te
0.029 0.322 0.911 Te
0.089 0.618 0.411 Te
0.089 0.707 0.678 Te
0.089 0.882 0.411 Te
0.089 0.971 0.678 Te
0.118 0.029 0.207 Te
0.118 0.589 0.911 Te
0.178 0.207 0.589 Te
0.178 0.471 0.589 Te
0.207 0.118 0.029 Te
0.207 0.589 0.178 Te
0.293 0.322 0.911 Te
0.293 0.471 0.382 Te
0.322 0.911 0.029 Te
0.322 0.911 0.293 Te
0.382 0.293 0.471 Te
0.382 0.589 0.911 Te
0.411 0.089 0.618 Te
0.411 0.089 0.882 Te
0.411 0.822 0.529 Te
0.411 0.822 0.793 Te
0.471 0.382 0.293 Te
0.471 0.589 0.178 Te
0.529 0.411 0.822 Te
0.529 0.618 0.707 Te
0.589 0.178 0.207 Te
0.589 0.178 0.471 Te
0.589 0.911 0.118 Te
0.589 0.911 0.382 Te
0.618 0.411 0.089 Te
0.618 0.707 0.529 Te
0.678 0.089 0.707 Te
0.678 0.089 0.971 Te
0.707 0.529 0.618 Te
0.707 0.678 0.089 Te
0.793 0.411 0.822 Te
0.793 0.882 0.971 Te
0.822 0.529 0.411 Te
0.822 0.793 0.411 Te
0.882 0.411 0.089 Te
0.882 0.971 0.793 Te
0.911 0.029 0.322 Te
0.911 0.118 0.589 Te
0.911 0.293 0.322 Te
0.911 0.382 0.589 Te
0.971 0.678 0.089 Te
0.971 0.793 0.882 Te
```

Ac2Zr2Te7: optimized geometry, PBE-GGA.

## Properties
Total moment, μB per formula unit: 0.000
ρ, g cm⁻³: 4.972
Calculated total energy, eV/atom: -5.29
Uncorrected formation energy, eV/atom: -0.9935
V, Å³ per atom: 46.4

Cell and atoms, written as POSCAR:
```
Ac2Zr2Te7
1.0
4.622 -7.097 0.000
4.622 7.097 0.000
-0.979 0.000 7.787
Ac Zr Te
2 2 7
Direct
0.184 0.816 0.000 Ac
0.816 0.184 0.000 Ac
0.229 0.229 0.611 Zr
0.771 0.771 0.389 Zr
0.075 0.075 0.270 Te
0.098 0.451 0.768 Te
0.451 0.098 0.768 Te
0.500 0.500 0.500 Te
0.549 0.902 0.232 Te
0.902 0.549 0.232 Te
0.925 0.925 0.730 Te
```

Ac2ZrTe5: optimized geometry, PBE-GGA.

## Properties
Total moment, μB per formula unit: 0.000
ρ, g cm⁻³: 6.186
Calculated total energy, eV/atom: -5.27
Uncorrected formation energy, eV/atom: -1.2120
V, Å³ per atom: 39.7

Cell and atoms, written as POSCAR:
```
Ac2ZrTe5
1.0
11.791 0.000 0.000
0.000 10.981 0.000
-2.622 0.000 4.906
Ac Zr Te
4 2 10
Direct
0.000 0.204 0.000 Ac
0.000 0.796 0.000 Ac
0.500 0.296 0.000 Ac
0.500 0.704 0.000 Ac
0.284 0.500 0.283 Zr
0.784 0.000 0.283 Zr
0.007 0.500 0.008 Te
0.075 0.000 0.575 Te
0.262 0.500 0.761 Te
0.320 0.233 0.320 Te
0.320 0.767 0.320 Te
0.507 0.000 0.008 Te
0.575 0.500 0.575 Te
0.762 0.000 0.761 Te
0.820 0.267 0.320 Te
0.820 0.733 0.320 Te
```

AcZrTe3: optimized geometry, PBE-GGA.

## Properties
Total moment, μB per formula unit: 0.000
ρ, g cm⁻³: 7.013
Calculated total energy, eV/atom: -5.59
Uncorrected formation energy, eV/atom: -1.1773
V, Å³ per atom: 33.2

Cell and atoms, written as POSCAR:
```
AcZrTe3
1.0
8.108 -2.125 0.000
8.108 2.125 0.000
-6.880 0.000 9.631
Ac Zr Te
2 2 6
Direct
0.087 0.087 0.415 Ac
0.913 0.913 0.585 Ac
0.249 0.249 0.875 Zr
0.751 0.751 0.125 Zr
0.108 0.108 0.952 Te
0.329 0.329 0.706 Te
0.389 0.389 0.331 Te
0.611 0.611 0.669 Te
0.671 0.671 0.294 Te
0.892 0.892 0.048 Te
```

Ac2ZrTe: optimized geometry, PBE-GGA.

## Properties
Total moment, μB per formula unit: 1.332
ρ, g cm⁻³: 7.401
Calculated total energy, eV/atom: -4.91
Uncorrected formation energy, eV/atom: 0.0653
V, Å³ per atom: 37.7

Cell and atoms, written as POSCAR:
```
Ac2ZrTe
1.0
3.921 0.000 0.000
-1.960 3.395 0.000
0.000 0.000 34.022
Ac Zr Te
6 3 3
Direct
0.000 0.000 0.096 Ac
0.000 0.000 0.904 Ac
0.333 0.667 0.570 Ac
0.333 0.667 0.763 Ac
0.667 0.333 0.237 Ac
0.667 0.333 0.430 Ac
0.000 0.000 0.000 Zr
0.333 0.667 0.667 Zr
0.667 0.333 0.333 Zr
0.000 0.000 0.500 Te
0.333 0.667 0.167 Te
0.667 0.333 0.833 Te
```

AcTh2: optimized geometry, PBE-GGA.

## Properties
Total moment, μB per formula unit: 0.000
ρ, g cm⁻³: 10.286
Calculated total energy, eV/atom: -6.11
Energy of formation, eV/atom: 0.203
V, Å³ per atom: 37.2

Cell and atoms, written as POSCAR:
```
AcTh2
1.0
0.000 4.814 4.814
4.814 0.000 4.814
4.814 4.814 0.000
Ac Th
2 4
Direct
0.125 0.125 0.125 Ac
0.875 0.875 0.875 Ac
0.000 0.500 0.500 Th
0.500 0.000 0.500 Th
0.500 0.500 0.000 Th
0.500 0.500 0.500 Th
```

Look up the V of the fourth one.
46.4 Å³ per atom

V of number 6 (AcZrTe3)?
33.2 Å³ per atom

Among the records above, which one has the lowest V?
Ac2Zn2Te